No. 1
9
Lattice="-7.1192 -1.2411 2.0506 4.1122 -5.5940 -2.8679 1.2648 -1.0086 3.7808" Properties=species:S:1:pos:R:3 comment="Y3Mg3Cu2Hg PBE-GGA relaxed" vol_a3_per_cell=201.0 magmom_total_mub_per_fu=0.01 crystal_system=hexagonal dft_energy_ev_per_atom=-3.791 space_group="P-62m, No. 189" pbc="T T T"
Y -4.1376 -0.7213 1.1918
Y 2.3900 -3.2512 -1.6668
Mg -1.6045 -5.5891 1.2824
Mg 1.6854 -1.9368 1.1560
Cu -2.7430 -3.1963 2.3015
Y -1.2593 -2.8626 -0.3423
Mg -1.1906 -0.8221 2.4155
Hg 0.0000 0.0000 0.0000
Cu 1.0008 -4.6473 0.6620

No. 2
9
Lattice="7.6148 0.0000 0.0000 -3.8074 6.5946 0.0000 0.0000 0.0000 4.1208" Properties=species:S:1:pos:R:3 comment="Y3Mg3ZnCuHg PBE-GGA relaxed" vol_a3_per_cell=206.9 magmom_total_mub_per_fu=0.01 crystal_system=hexagonal dft_energy_ev_per_atom=-3.575 space_group="P-6, No. 174" pbc="T T T"
Y -2.2107 3.9517 2.0604
Y 0.7203 6.5333 2.0604
Mg -1.9856 6.5854 0.0000
Mg -0.9029 1.5823 0.0000
Cu 0.0000 0.0000 2.0604
Hg 3.8074 2.1982 0.0000
Mg 2.8886 5.0215 0.0000
Y 1.4905 2.7042 2.0604
Zn 0.0000 4.3964 0.0000

No. 3
4
Lattice="0.0000 3.2364 3.2364 3.2364 0.0000 3.2364 3.2364 3.2364 0.0000" Properties=species:S:1:pos:R:3 comment="CuSiHgMo PBE-GGA relaxed" relative_energy_mev_per_atom=357 vol_a3_per_cell=67.8 magmom_total_mub_per_fu=2.87 crystal_system=cubic dft_energy_ev_per_atom=-4.218 space_group="F-43m, No. 216" pbc="T T T"
Mo 3.2364 3.2364 3.2364
Cu 4.8546 4.8546 4.8546
Si 0.0000 0.0000 0.0000
Hg 1.6182 1.6182 1.6182

No. 4
4
Lattice="-2.9028 -1.0351 -3.2199 -3.5051 2.6421 -0.7742 -0.1669 2.4476 -3.7211" Properties=species:S:1:pos:R:3 comment="CuSiHgMo PBE-GGA relaxed" relative_energy_mev_per_atom=0 vol_a3_per_cell=62.6 magmom_total_mub_per_fu=0.09 crystal_system=cubic dft_energy_ev_per_atom=-4.575 space_group="F-43m, No. 216" pbc="T T T"
Si 0.0000 0.0000 0.0000
Hg -3.2874 2.0273 -3.8576
Cu -4.9311 3.0409 -5.7865
Mo -1.6437 1.0136 -1.9288